[1]
HgBi3Pb3, optimized geometry, DFT PBE; calculated density = 7056 kg/m³; total energy = -0.224 Ry per atom; energy above the most stable polymorph in this dataset = 203 meV/atom; magnetization = 0.00 Bohr magnetons per cell; DFT formation energy = 0.25 eV per atom
1.0
-5.1757 -2.0289 -6.8250
-1.4781 -7.9477 3.4835
-6.9651 3.1942 4.3323
Bi Pb Hg
6 6 2
Direct
0.0000 0.7500 0.5000
0.7500 0.5000 0.0000
0.5000 0.0000 0.2500
0.2500 0.5000 0.0000
0.5000 0.0000 0.7500
0.0000 0.2500 0.5000
0.0000 0.5000 0.7500
0.5000 0.2500 0.0000
0.2500 0.0000 0.5000
0.5000 0.7500 0.0000
0.7500 0.0000 0.5000
0.0000 0.5000 0.2500
0.5000 0.5000 0.5000
0.0000 0.0000 0.0000

---

[2]
Y5Er5Tm, optimized geometry, DFT PBE; calculated density = 6771 kg/m³; total energy = -0.377 Ry per atom; energy above the most stable polymorph in this dataset = 134 meV/atom; magnetization = 1.18 Bohr magnetons per cell; DFT formation energy = 0.29 eV per atom
1.0
-3.9939 -4.0183 -1.6266
8.8006 -4.3913 -0.0811
-2.6227 0.0207 6.3886
Y Tm Er
5 1 5
Direct
0.8218 0.6437 0.0676
0.1782 0.3563 0.9324
0.1783 0.3566 0.4241
0.5000 0.0000 0.0000
0.8217 0.6434 0.5759
0.0000 0.0000 0.0000
0.3774 0.7548 0.3766
0.6683 0.3366 0.1690
0.6226 0.2452 0.6234
0.0000 0.0000 0.5000
0.3317 0.6634 0.8310

---

[3]
LiCeCuS3, optimized geometry, DFT PBE; formation energy from raw total energies = -1.28 eV per atom; calculated density = 4412 kg/m³; total energy = -0.392 Ry per atom; magnetization = 0.27 Bohr magnetons per cell
1.0
3.7716 0.0000 0.0000
0.0000 7.5668 0.0743
0.0000 -1.9270 8.0735
S Li Cu Ce
6 2 2 2
Direct
0.7500 0.2310 0.5046
0.2500 0.5816 0.8371
0.7500 0.9095 0.1338
0.2500 0.0905 0.8662
0.2500 0.7690 0.4954
0.7500 0.4184 0.1629
0.7500 0.3490 0.8525
0.2500 0.6510 0.1475
0.7500 0.9034 0.4075
0.2500 0.0966 0.5925
0.2500 0.1890 0.2313
0.7500 0.8110 0.7687

---

[4]
AcIn4Au, optimized geometry, DFT PBE; calculated density = 9128 kg/m³; total energy = -0.254 Ry per atom; magnetization = 0.00 Bohr magnetons per cell; DFT formation energy = -0.40 eV per atom
1.0
4.6508 0.0000 0.0000
0.0000 7.7725 0.0000
-2.3254 0.0000 8.8900
Au In Ac
2 8 2
Direct
0.2276 0.7500 0.4552
0.7724 0.2500 0.5448
0.5000 0.0000 0.0000
0.6807 0.5503 0.3614
0.3193 0.4497 0.6386
0.3193 0.0503 0.6386
0.9306 0.2500 0.8613
0.6807 0.9497 0.3614
0.5000 0.5000 0.0000
0.0694 0.7500 0.1387
0.1186 0.2500 0.2372
0.8814 0.7500 0.7628

---

[5]
Mg7InRh4, optimized geometry, DFT PBE; calculated density = 5064 kg/m³; total energy = -0.276 Ry per atom; magnetization = 0.00 Bohr magnetons per cell; DFT formation energy = -0.14 eV per atom
1.0
-4.5805 0.4320 1.6382
-2.5783 -7.1960 1.9683
-0.1689 0.3361 6.7188
Mg Rh In
7 4 1
Direct
0.3215 0.6189 0.7382
0.6785 0.3811 0.2618
0.7813 0.8700 0.5674
0.9310 0.3693 0.7687
0.5000 0.0000 0.0000
0.2187 0.1300 0.4326
0.0690 0.6307 0.2313
0.6906 0.6577 0.9610
0.4332 0.7819 0.3516
0.5668 0.2181 0.6484
0.3094 0.3422 0.0390
0.0000 0.0000 0.0000

---

[6]
NbSiC3, optimized geometry, DFT PBE; formation energy from raw total energies = 1.54 eV per atom; calculated density = 5113 kg/m³; total energy = -0.521 Ry per atom; energy above the most stable polymorph in this dataset = 0 meV/atom; magnetization = 0.00 Bohr magnetons per cell
1.0
3.7084 0.0000 0.0000
0.0000 3.7084 0.0000
0.0000 0.0000 3.7084
Nb Si C
1 1 3
Direct
0.5000 0.5000 0.5000
0.0000 0.0000 0.0000
0.0000 0.0000 0.5000
0.0000 0.5000 0.0000
0.5000 0.0000 0.0000

---

[7]
Pr2BiSb3Pd4, optimized geometry, DFT PBE; formation energy from raw total energies = -0.78 eV per atom; calculated density = 9034 kg/m³; total energy = -0.400 Ry per atom; magnetization = 0.00 Bohr magnetons per cell
1.0
4.6034 0.0000 0.0000
0.0000 4.6034 0.0000
0.0000 0.0000 11.1172
Bi Sb Pd Pr
1 3 4 2
Direct
0.5000 0.5000 0.5000
0.0000 0.5000 0.1266
0.0000 0.0000 0.5000
0.5000 0.0000 0.8734
0.5000 0.5000 0.0000
0.0000 0.0000 0.0000
0.0000 0.5000 0.3594
0.5000 0.0000 0.6406
0.5000 0.0000 0.2270
0.0000 0.5000 0.7730

---

[8]
YTe2Ru, optimized geometry, DFT PBE; formation energy from raw total energies = -0.52 eV per atom; calculated density = 6676 kg/m³; total energy = -0.443 Ry per atom; energy above the most stable polymorph in this dataset = 0 meV/atom; magnetization = 0.00 Bohr magnetons per cell
1.0
-3.4352 -0.0560 -1.9524
-1.7117 -1.9813 3.0685
-2.6247 5.0502 4.4732
Y Ru Te
1 1 2
Direct
0.0000 0.5418 0.5425
0.5000 0.9620 0.7005
0.5000 0.1535 0.3214
0.0000 0.8427 0.9355